## Cd2RuRh (PBE)

Data for a relaxed structure of Cd2RuRh.

V, A^3/atom: 17.46
Energy relative to the elements, meV/atom: 234
N(E_F), states/eV/f.u.: 3.79
VASP energy, eV/cell: -17.52

```
data_Cd2RuRh
_cell_length_a 4.4631
_cell_length_b 2.8981
_cell_length_c 5.5872
_cell_angle_alpha 75.12
_cell_angle_beta 90.00
_cell_angle_gamma 90.00
_space_group_name_H-M_alt 'P 1'
_space_group_IT_number 1
loop_
_space_group_symop_operation_xyz
'x,y,z'
loop_
_atom_site_label
_atom_site_fract_x
_atom_site_fract_y
_atom_site_fract_z
_atom_site_occupancy
Ru1 0.5000 0.5699 0.7388 1
Rh1 0.0000 0.6801 0.5109 1
Cd1 0.0000 0.9510 0.9755 1
Cd2 0.5000 0.2989 0.2748 1
```

***

## CdRu2Rh (PBE)

Data for a relaxed structure of CdRu2Rh.

V, A^3/atom: 15.72
Energy relative to the elements, meV/atom: 462
N(E_F), states/eV/f.u.: 4.78
VASP energy, eV/cell: -24.97

```
data_CdRu2Rh
_cell_length_a 2.7469
_cell_length_b 2.7469
_cell_length_c 9.4957
_cell_angle_alpha 90.00
_cell_angle_beta 90.00
_cell_angle_gamma 118.63
_space_group_name_H-M_alt 'P 1'
_space_group_IT_number 1
loop_
_space_group_symop_operation_xyz
'x,y,z'
loop_
_atom_site_label
_atom_site_fract_x
_atom_site_fract_y
_atom_site_fract_z
_atom_site_occupancy
Cd1 0.5000 0.5000 0.2500 1
Rh1 0.5000 0.5000 0.7500 1
Ru1 0.0000 0.0000 0.5127 1
Ru2 0.0000 0.0000 0.9873 1
```

***

## Cd2RuRh (PBE)

Data for a relaxed structure of Cd2RuRh.

V, A^3/atom: 17.04
Energy relative to the elements, meV/atom: 260
N(E_F), states/eV/f.u.: 4.74
VASP energy, eV/cell: -17.42

```
data_Cd2RuRh
_cell_length_a 2.9497
_cell_length_b 3.8989
_cell_length_c 5.9254
_cell_angle_alpha 90.00
_cell_angle_beta 90.00
_cell_angle_gamma 90.00
_space_group_name_H-M_alt 'P 1'
_space_group_IT_number 1
loop_
_space_group_symop_operation_xyz
'x,y,z'
loop_
_atom_site_label
_atom_site_fract_x
_atom_site_fract_y
_atom_site_fract_z
_atom_site_occupancy
Rh1 0.5000 0.5000 0.2500 1
Cd1 0.0000 0.0000 0.0033 1
Cd2 0.0000 0.0000 0.4967 1
Ru1 0.5000 0.5000 0.7500 1
```

***

Q: Among the records above, which one has the highest energy relative to the elements?
A: CdRu2Rh

***

Q: Which value of VASP energy does entry 2 give?
A: -24.97 eV/cell

***

Q: The highest V belongs to which entry?
A: number 1